{
  "formula": "Sc3CdCo",
  "functional": "PBE",
  "state": "optimized geometry",
  "e_above_lowest_polymorph_mev_per_atom": 135,
  "sg": "No. 221",
  "magnetic_moment_mub_per_cell": 0.0,
  "delta_e_f_ev_per_atom": -0.111,
  "n_ef_per_ev_cell": 6.15,
  "cell": [[4.838, 0.000, 0.000], [0.000, 4.838, 0.000], [0.000, 0.000, 4.838]],
  "species": ["Sc", "Co", "Cd", "Sc", "Sc"],
  "frac_coords": [[0.000, 0.000, 0.500], [0.000, 0.000, 0.000], [0.500, 0.500, 0.500], [0.500, 0.000, 0.000], [0.000, 0.500, 0.000]]
}



{
  "formula": "Hf3TiIn3",
  "functional": "PBE",
  "state": "optimized geometry",
  "sg": "No. 12",
  "magnetic_moment_mub_per_cell": 0.0,
  "delta_e_f_ev_per_atom": -0.127,
  "n_ef_per_ev_cell": 7.57,
  "cell": [[-2.278, 1.626, -1.635], [-3.345, -4.214, -2.743], [-14.055, -7.463, 8.956]],
  "species": ["Ti", "In", "Hf", "In", "In", "In", "Hf", "Hf", "In", "Hf", "Ti", "In", "Hf", "Hf"],
  "frac_coords": [[0.699, 0.264, 0.337], [0.568, 0.243, 0.621], [0.154, 0.747, 0.946], [0.276, 0.244, 0.203], [0.432, 0.757, 0.379], [0.724, 0.756, 0.797], [0.862, 0.750, 0.525], [0.989, 0.261, 0.762], [0.581, 0.749, 0.089], [0.846, 0.253, 0.054], [0.301, 0.736, 0.663], [0.419, 0.251, 0.911], [0.138, 0.250, 0.475], [0.011, 0.739, 0.238]]
}



{
  "formula": "Nd10DyEr6",
  "functional": "PBE",
  "state": "optimized geometry",
  "sg": "No. 162",
  "magnetic_moment_mub_per_cell": 0.0,
  "delta_e_f_ev_per_atom": 0.128,
  "n_ef_per_ev_cell": 25.43,
  "cell": [[6.898, 0.000, 0.000], [0.000, 8.509, -4.913], [0.000, 0.000, 9.826]],
  "species": ["Er", "Nd", "Nd", "Nd", "Nd", "Er", "Dy", "Er", "Nd", "Er", "Nd", "Nd", "Nd", "Nd", "Er", "Er", "Nd"],
  "frac_coords": [[0.687, 0.368, 0.368], [0.500, 0.667, 0.333], [0.000, 0.333, 0.667], [0.000, 0.667, 0.333], [0.183, 0.276, 0.276], [0.313, 0.000, 0.368], [0.500, 0.000, 0.000], [0.313, 0.368, 0.000], [0.500, 0.333, 0.667], [0.687, 0.632, 0.000], [0.817, 0.724, 0.724], [0.183, 0.724, 0.000], [0.817, 0.000, 0.276], [0.817, 0.276, 0.000], [0.313, 0.632, 0.632], [0.687, 0.000, 0.632], [0.183, 0.000, 0.724]]
}



{
  "formula": "PmTaAlO6",
  "functional": "PBE",
  "state": "optimized geometry",
  "final_energy_ev_per_cell": -149.67,
  "sg": "No. 102",
  "magnetic_moment_mub_per_cell": 1.6,
  "n_ef_per_ev_cell": 9.31,
  "cell": [[4.846, 0.000, 0.000], [0.000, 4.846, 0.000], [0.000, 0.000, 9.609]],
  "species": ["O", "O", "Pm", "O", "O", "O", "Ta", "O", "Pm", "Al", "O", "O", "O", "O", "Ta", "O", "O", "Al"],
  "frac_coords": [[0.709, 0.709, 0.696], [0.783, 0.217, 0.805], [0.000, 0.000, 0.006], [0.331, 0.331, 0.994], [0.209, 0.791, 0.196], [0.791, 0.209, 0.196], [0.500, 0.500, 0.169], [0.717, 0.717, 0.305], [0.500, 0.500, 0.506], [0.500, 0.500, 0.835], [0.831, 0.169, 0.494], [0.283, 0.283, 0.305], [0.669, 0.669, 0.994], [0.169, 0.831, 0.494], [0.000, 0.000, 0.669], [0.291, 0.291, 0.696], [0.217, 0.783, 0.805], [0.000, 0.000, 0.335]]
}



{
  "formula": "LiLaDy",
  "functional": "PBE",
  "state": "optimized geometry",
  "e_above_lowest_polymorph_mev_per_atom": 0,
  "sg": "No. 107",
  "magnetic_moment_mub_per_cell": 0.0,
  "delta_e_f_ev_per_atom": 0.087,
  "n_ef_per_ev_cell": 3.74,
  "cell": [[-3.178, -1.994, 0.452], [0.194, -1.126, -3.602], [4.838, -3.384, 3.300]],
  "species": ["Li", "La", "Dy"],
  "frac_coords": [[0.674, 0.674, 0.347], [0.011, 0.011, 0.023], [0.315, 0.315, 0.630]]
}



{
  "formula": "K2Er2MnS6",
  "functional": "PBE",
  "state": "optimized geometry",
  "final_energy_ev_per_cell": -61.17,
  "sg": "No. 12",
  "magnetic_moment_mub_per_cell": 3.0,
  "cell": [[-1.291, 1.084, 6.349], [6.066, -1.784, -1.781], [0.225, 7.469, -2.431]],
  "species": ["K", "S", "S", "S", "Mn", "S", "S", "K", "Er", "Er", "S"],
  "frac_coords": [[0.172, 0.828, 0.000], [0.233, 0.233, 0.314], [0.367, 0.067, 0.688], [0.767, 0.767, 0.686], [0.000, 0.000, 0.500], [0.933, 0.633, 0.312], [0.067, 0.367, 0.688], [0.828, 0.172, 0.000], [0.667, 0.333, 0.500], [0.333, 0.667, 0.500], [0.633, 0.933, 0.312]]
}



{
  "formula": "CrHIr2Ru",
  "functional": "PBE",
  "state": "optimized geometry",
  "e_above_lowest_polymorph_mev_per_atom": 30,
  "sg": "No. 123",
  "magnetic_moment_mub_per_cell": 0.0,
  "n_ef_per_ev_cell": 4.59,
  "cell": [[-1.183, -0.541, -3.613], [-2.526, -2.622, 1.220], [-2.666, 2.781, 0.456]],
  "species": ["H", "Ru", "Ir", "Cr", "Ir"],
  "frac_coords": [[0.000, 0.000, 0.000], [0.500, 0.500, 0.500], [0.500, 0.000, 0.000], [0.000, 0.000, 0.500], [0.000, 0.500, 0.000]]
}



{
  "formula": "NiPb4Br2",
  "functional": "PBE",
  "state": "optimized geometry",
  "final_energy_ev_per_cell": -24.87,
  "sg": "No. 139",
  "magnetic_moment_mub_per_cell": 0.0,
  "n_ef_per_ev_cell": 3.68,
  "cell": [[4.920, 0.000, 0.000], [0.000, 4.920, 0.000], [2.460, 2.460, 9.684]],
  "species": ["Br", "Pb", "Pb", "Pb", "Pb", "Ni", "Br"],
  "frac_coords": [[0.663, 0.663, 0.674], [0.500, 0.000, 0.000], [0.145, 0.145, 0.711], [0.855, 0.855, 0.289], [0.000, 0.500, 0.000], [0.000, 0.000, 0.000], [0.337, 0.337, 0.326]]
}